No. 1
{"formula": "Cr2TcCl", "functional": "PBE", "state": "optimized geometry", "e_above_lowest_polymorph_ev_per_atom": 0.705, "magmom_total_mub_per_fu": 0.561, "volume_a3_per_fu": 56.5, "lattice": [[4.3066, 0.0000, 0.0000], [2.1533, 3.7296, 0.0000], [2.1533, 1.2432, 3.5163]], "species": ["Cr", "Cl", "Cr", "Tc"], "frac_coords": [[0.2500, 0.2500, 0.2500], [0.5000, 0.5000, 0.5000], [0.0000, 0.0000, 0.0000], [0.7500, 0.7500, 0.7500]]}



No. 2
{"formula": "Cr2TcCl", "functional": "PBE", "state": "optimized geometry", "e_above_lowest_polymorph_ev_per_atom": 0.176, "magmom_total_mub_per_fu": 1.320, "volume_a3_per_fu": 57.7, "lattice": [[8.4569, -0.0158, -0.0093], [7.9877, 2.7779, -0.0093], [7.9877, 1.3416, 2.4325]], "species": ["Cl", "Cr", "Cr", "Tc"], "frac_coords": [[0.7345, 0.7345, 0.7345], [0.2531, 0.2531, 0.2531], [0.0002, 0.0002, 0.0002], [0.5123, 0.5123, 0.5123]]}



No. 3
{"formula": "Cr2TcCl", "functional": "PBE", "state": "optimized geometry", "e_above_lowest_polymorph_ev_per_atom": 0.141, "magmom_total_mub_per_fu": 2.342, "volume_a3_per_fu": 59.3, "lattice": [[-2.1975, 0.0007, 1.9225], [-1.1461, -2.3447, -1.3092], [3.6785, -4.1467, 4.2061]], "species": ["Tc", "Cr", "Cl", "Cr"], "frac_coords": [[0.0000, 0.0000, 0.4556], [0.5000, 0.5000, 0.2540], [0.5000, 0.5000, 0.7612], [0.0000, 0.0000, 0.0292]]}



No. 4
{"formula": "CrTc2Cl", "functional": "PBE", "state": "optimized geometry", "e_above_lowest_polymorph_ev_per_atom": 0.241, "magmom_total_mub_per_fu": 0.004, "volume_a3_per_fu": 58.3, "lattice": [[-1.9044, 3.2524, 3.4312], [-2.2267, 0.6057, 4.5446], [3.7218, 0.2868, 1.7594]], "species": ["Cl", "Cr", "Tc", "Tc"], "frac_coords": [[0.4961, 0.4961, 0.5000], [0.2925, 0.2925, 0.2234], [0.9922, 0.9922, 0.9841], [0.7192, 0.7192, 0.7925]]}



No. 5
{"formula": "CrTc2Cl", "functional": "PBE", "state": "optimized geometry", "e_above_lowest_polymorph_ev_per_atom": 0.230, "magmom_total_mub_per_fu": 0.000, "volume_a3_per_fu": 53.8, "lattice": [[5.0988, 0.0006, 0.0021], [2.4821, 4.4539, -0.0021], [-3.2706, -3.1119, 2.3700]], "species": ["Tc", "Tc", "Cl", "Cr"], "frac_coords": [[0.7330, 0.2330, 0.5000], [0.9995, 0.9995, 0.0000], [0.4904, 0.4904, 0.0000], [0.2770, 0.7770, 0.5000]]}



No. 6
{"formula": "CrTc2Cl", "functional": "PBE", "state": "optimized geometry", "e_above_lowest_polymorph_ev_per_atom": 0.646, "magmom_total_mub_per_fu": 0.000, "volume_a3_per_fu": 74.9, "lattice": [[-0.4613, 2.9877, -4.3645], [4.0331, -2.6357, -2.2305], [-1.6408, -3.3381, -5.3409]], "species": ["Tc", "Cl", "Tc", "Cr", "Tc", "Cl", "Tc", "Cr"], "frac_coords": [[0.8750, 0.8860, 0.7500], [0.2500, 0.7500, 0.5000], [0.3750, 0.3640, 0.7500], [0.0000, 0.0000, 0.0000], [0.6360, 0.1250, 0.2500], [0.5000, 0.5000, 0.0000], [0.1140, 0.6250, 0.2500], [0.7500, 0.2500, 0.5000]]}



No. 7
{"formula": "CrTcCl3", "functional": "PBE", "state": "optimized geometry", "e_above_lowest_polymorph_ev_per_atom": 0.000, "magmom_total_mub_per_fu": 0.530, "volume_a3_per_fu": 115.5, "lattice": [[-0.5200, -2.0902, 4.3677], [-3.2534, -3.1027, -1.8722], [3.5863, -3.1178, -1.0651]], "species": ["Cl", "Cr", "Cl", "Tc", "Cl"], "frac_coords": [[0.0000, 0.5000, 0.0000], [0.0000, 0.0000, 0.0000], [0.0000, 0.0000, 0.5000], [0.5000, 0.5000, 0.5000], [0.5000, 0.0000, 0.0000]]}



No. 8
{"formula": "Cr3TcCl", "functional": "PBE", "state": "optimized geometry", "e_above_lowest_polymorph_ev_per_atom": 0.000, "magmom_total_mub_per_fu": 0.002, "volume_a3_per_fu": 68.5, "lattice": [[-2.3166, -0.3661, 3.3528], [2.2517, -3.1962, 1.2067], [2.5110, 2.5283, 2.0111]], "species": ["Tc", "Cl", "Cr", "Cr", "Cr"], "frac_coords": [[0.5000, 0.5000, 0.5000], [0.0000, 0.0000, 0.0000], [0.0000, 0.0000, 0.5000], [0.5000, 0.0000, 0.0000], [0.0000, 0.5000, 0.0000]]}



No. 9
{"formula": "Cr2TcCl", "functional": "PBE", "state": "optimized geometry", "e_above_lowest_polymorph_ev_per_atom": 0.131, "magmom_total_mub_per_fu": 5.493, "volume_a3_per_fu": 63.5, "lattice": [[2.9316, 0.6269, 0.0000], [-0.6237, 2.9322, 0.0000], [0.0000, 0.0000, 7.0649]], "species": ["Cr", "Cr", "Cl", "Tc"], "frac_coords": [[0.0000, 0.0000, 0.4716], [0.0000, 0.0000, 0.0284], [0.5000, 0.5000, 0.7500], [0.5000, 0.5000, 0.2500]]}



No. 10
{"formula": "VCrTcCl2", "functional": "PBE", "state": "optimized geometry", "magmom_total_mub_per_fu": 2.327, "volume_a3_per_fu": 95.6, "total_energy_ev_per_fu": -26.9, "lattice": [[-2.0570, -0.0816, -4.0412], [-3.2067, -2.9104, 1.6910], [-2.5596, 3.5357, 1.2315]], "species": ["Tc", "Cl", "Cr", "V", "Cl"], "frac_coords": [[0.5000, 0.5000, 0.5000], [0.0000, 0.0000, 0.5000], [0.0000, 0.5000, 0.0000], [0.0000, 0.0000, 0.0000], [0.5000, 0.0000, 0.0000]]}



No. 11
{"formula": "CrTcWCl2", "functional": "PBE", "state": "optimized geometry", "magmom_total_mub_per_fu": 6.364, "volume_a3_per_fu": 109.4, "total_energy_ev_per_fu": -28.3, "lattice": [[-0.7708, -0.7138, 4.5662], [0.3828, -4.9186, -0.7043], [4.6076, 0.2418, 0.8156]], "species": ["Cl", "W", "Cl", "Cr", "Tc"], "frac_coords": [[0.5000, 0.0000, 0.0000], [0.5000, 0.5000, 0.5000], [0.0000, 0.0000, 0.5000], [0.0000, 0.5000, 0.0000], [0.0000, 0.0000, 0.0000]]}



No. 12
{"formula": "CrTe2Cl", "functional": "PBE", "state": "optimized geometry", "e_above_lowest_polymorph_ev_per_atom": 0.621, "magmom_total_mub_per_fu": 3.656, "volume_a3_per_fu": 99.6, "lattice": [[-2.4362, -1.0656, -5.0883], [-0.5494, -3.8111, 4.2585], [-2.9013, 1.5968, 1.0547]], "species": ["Cl", "Te", "Te", "Cr"], "frac_coords": [[0.5000, 0.0000, 0.5000], [0.5000, 0.5000, 0.0000], [0.0000, 0.0000, 0.0000], [0.0000, 0.5000, 0.5000]]}



No. 13
{"formula": "CrTeCl2", "functional": "PBE", "state": "optimized geometry", "e_above_lowest_polymorph_ev_per_atom": 0.776, "magmom_total_mub_per_fu": 0.000, "volume_a3_per_fu": 110.1, "lattice": [[6.7991, 0.0000, 0.0000], [0.0000, 6.7991, 0.0000], [3.3996, 3.3996, 4.7648]], "species": ["Te", "Cr", "Cl", "Cr", "Cl", "Te", "Cl", "Cl"], "frac_coords": [[0.0000, 0.0000, 0.0000], [0.2500, 0.7500, 0.5000], [0.4605, 0.1250, 0.2500], [0.5000, 0.5000, 0.0000], [0.8750, 0.7105, 0.7500], [0.7500, 0.2500, 0.5000], [0.2895, 0.6250, 0.2500], [0.3750, 0.5395, 0.7500]]}



No. 14
{"formula": "CrTe4Cl", "functional": "PBE", "state": "optimized geometry", "magmom_total_mub_per_fu": 3.510, "volume_a3_per_fu": 175.5, "total_energy_ev_per_fu": -21.4, "lattice": [[-3.6778, -5.0837, 0.3463], [-6.2467, 0.6498, 0.2166], [-3.5071, -1.6830, -4.9354]], "species": ["Te", "Te", "Te", "Cl", "Cr", "Te"], "frac_coords": [[0.3751, 0.8747, 0.3751], [0.8747, 0.3751, 0.3751], [0.3751, 0.3751, 0.8747], [0.7500, 0.7500, 0.7500], [0.0000, 0.0000, 0.0000], [0.3751, 0.3751, 0.3751]]}



No. 15
{"formula": "CrTeCl2", "functional": "PBE", "state": "optimized geometry", "e_above_lowest_polymorph_ev_per_atom": 0.056, "magmom_total_mub_per_fu": 3.657, "volume_a3_per_fu": 105.7, "lattice": [[10.6104, -0.0071, -0.0042], [10.0609, 3.3703, -0.0042], [10.0609, 1.6369, 2.9461]], "species": ["Cr", "Cl", "Te", "Cl"], "frac_coords": [[0.2500, 0.2500, 0.2500], [0.5365, 0.5365, 0.5365], [0.7500, 0.7500, 0.7500], [0.9635, 0.9635, 0.9635]]}



No. 16
{"formula": "CrTeCl2", "functional": "PBE", "state": "optimized geometry", "e_above_lowest_polymorph_ev_per_atom": 0.187, "magmom_total_mub_per_fu": 3.225, "volume_a3_per_fu": 98.1, "lattice": [[8.5011, 0.0267, 0.0160], [7.6796, 3.6459, 0.0160], [7.6796, 1.7431, 3.2023]], "species": ["Te", "Cr", "Cl", "Cl"], "frac_coords": [[0.7672, 0.7672, 0.7672], [0.5002, 0.5002, 0.5002], [0.0134, 0.0134, 0.0134], [0.2192, 0.2192, 0.2192]]}



No. 17
{"formula": "CrTeCl2", "functional": "PBE", "state": "optimized geometry", "e_above_lowest_polymorph_ev_per_atom": 0.865, "magmom_total_mub_per_fu": 2.677, "volume_a3_per_fu": 91.0, "lattice": [[0.0000, 3.5703, 3.5703], [3.5703, 0.0000, 3.5703], [3.5703, 3.5703, 0.0000]], "species": ["Cl", "Cr", "Te", "Cl"], "frac_coords": [[0.7500, 0.7500, 0.7500], [0.0000, 0.0000, 0.0000], [0.5000, 0.5000, 0.5000], [0.2500, 0.2500, 0.2500]]}



No. 18
{"formula": "CrTeCl", "functional": "PBE", "state": "optimized geometry", "magmom_total_mub_per_fu": 3.495, "volume_a3_per_fu": 82.3, "total_energy_ev_per_fu": -15.6, "lattice": [[-6.3454, -3.7430, -3.1995], [-4.7763, -5.9311, -0.9265], [-2.9317, 1.6207, 1.0932]], "species": ["Te", "Cr", "Cl"], "frac_coords": [[0.7115, 0.7115, 0.2885], [0.3414, 0.3414, 0.6586], [0.9471, 0.9471, 0.0529]]}



No. 19
{"formula": "CrTeCl", "functional": "PBE", "state": "optimized geometry", "magmom_total_mub_per_fu": 3.000, "volume_a3_per_fu": 80.5, "total_energy_ev_per_fu": -16.4, "lattice": [[-2.7944, -2.3544, 0.6353], [2.6623, -0.8910, -2.4236], [9.6043, -3.4922, 9.4721]], "species": ["Te", "Te", "Cr", "Cl", "Cl", "Cr"], "frac_coords": [[0.5327, 0.7083, 0.2410], [0.1302, 0.4016, 0.5319], [0.7546, 0.3683, 0.1229], [0.0038, 0.7474, 0.7512], [0.9922, 0.0295, 0.0217], [0.5749, 0.0750, 0.6499]]}



No. 20
{"formula": "CrTe2Cl", "functional": "PBE", "state": "optimized geometry", "e_above_lowest_polymorph_ev_per_atom": 0.000, "magmom_total_mub_per_fu": 3.360, "volume_a3_per_fu": 113.4, "lattice": [[-1.0240, -2.5306, 3.1944], [4.6447, -2.9361, -0.8369], [5.9422, 0.6591, 2.4270]], "species": ["Te", "Cr", "Cl", "Te"], "frac_coords": [[0.0000, 0.9222, 0.9072], [0.5000, 0.7500, 0.7500], [0.5000, 0.2500, 0.2500], [0.0000, 0.5778, 0.5928]]}



No. 21
{"formula": "CrTe2Cl", "functional": "PBE", "state": "optimized geometry", "e_above_lowest_polymorph_ev_per_atom": 0.093, "magmom_total_mub_per_fu": 2.999, "volume_a3_per_fu": 118.0, "lattice": [[2.3753, 0.0000, 8.0482], [-1.1876, 2.0570, 8.0482], [-1.1876, -2.0570, 8.0482]], "species": ["Cr", "Te", "Cl", "Te"], "frac_coords": [[0.5000, 0.5000, 0.5000], [0.8889, 0.8889, 0.8889], [0.0000, 0.0000, 0.0000], [0.1111, 0.1111, 0.1111]]}



No. 22
{"formula": "CrTeCl2", "functional": "PBE", "state": "optimized geometry", "e_above_lowest_polymorph_ev_per_atom": 0.530, "magmom_total_mub_per_fu": 3.236, "volume_a3_per_fu": 118.4, "lattice": [[1.9165, 0.0000, 12.4024], [-0.9583, 1.6597, 12.4024], [-0.9583, -1.6597, 12.4024]], "species": ["Cr", "Te", "Cl", "Cl"], "frac_coords": [[0.0000, 0.0000, 0.0000], [0.5000, 0.5000, 0.5000], [0.9422, 0.9422, 0.9422], [0.0578, 0.0578, 0.0578]]}



No. 23
{"formula": "CrTeCl", "functional": "PBE", "state": "optimized geometry", "magmom_total_mub_per_fu": 3.000, "volume_a3_per_fu": 72.1, "total_energy_ev_per_fu": -15.0, "lattice": [[-0.5428, 4.6140, 0.4897], [-4.2262, 1.7714, 0.9081], [-0.9191, 1.8102, 4.2073]], "species": ["Te", "Cl", "Cr"], "frac_coords": [[0.0000, 0.0000, 0.0000], [0.5000, 0.5000, 0.5000], [0.7500, 0.7500, 0.7500]]}



No. 24
{"formula": "CrTe2Cl", "functional": "PBE", "state": "optimized geometry", "e_above_lowest_polymorph_ev_per_atom": 0.667, "magmom_total_mub_per_fu": 4.007, "volume_a3_per_fu": 97.3, "lattice": [[5.1621, 0.0000, 0.0000], [2.5810, 4.4705, 0.0000], [2.5810, 1.4902, 4.2148]], "species": ["Cr", "Te", "Cl", "Te"], "frac_coords": [[0.2500, 0.2500, 0.2500], [0.0000, 0.0000, 0.0000], [0.5000, 0.5000, 0.5000], [0.7500, 0.7500, 0.7500]]}



No. 25
{"formula": "CrTe2Cl", "functional": "PBE", "state": "optimized geometry", "e_above_lowest_polymorph_ev_per_atom": 0.474, "magmom_total_mub_per_fu": 4.355, "volume_a3_per_fu": 105.8, "lattice": [[-4.7481, 1.4417, -1.4364], [1.6201, -3.3207, -3.6104], [-3.1636, -4.0647, -0.3627]], "species": ["Cl", "Cr", "Te", "Te"], "frac_coords": [[0.5000, 0.0000, 0.5000], [0.0000, 0.5000, 0.5000], [0.5000, 0.5000, 0.0000], [0.0000, 0.0000, 0.0000]]}



No. 26
{"formula": "CrTe2Cl", "functional": "PBE", "state": "optimized geometry", "e_above_lowest_polymorph_ev_per_atom": 0.500, "magmom_total_mub_per_fu": 4.711, "volume_a3_per_fu": 116.9, "lattice": [[-1.4817, -2.6073, 2.8480], [-1.4108, -2.4771, -3.0018], [5.9351, -3.3763, -0.0032]], "species": ["Cl", "Te", "Cr", "Te"], "frac_coords": [[0.5000, 0.0000, 0.5000], [0.0000, 0.0000, 0.0000], [0.0000, 0.5000, 0.5000], [0.5000, 0.5000, 0.0000]]}



No. 27
{"formula": "CrTe2Cl", "functional": "PBE", "state": "optimized geometry", "e_above_lowest_polymorph_ev_per_atom": 0.812, "magmom_total_mub_per_fu": 4.376, "volume_a3_per_fu": 101.4, "lattice": [[6.9328, 1.7623, 7.9426], [8.6572, -0.5375, 6.2464], [8.8481, 2.6764, 5.3666]], "species": ["Te", "Cr", "Cl", "Te"], "frac_coords": [[0.0859, 0.0859, 0.0859], [0.0000, 0.0000, 0.0000], [0.5000, 0.5000, 0.5000], [0.9141, 0.9141, 0.9141]]}



No. 28
{"formula": "CrTe2Cl", "functional": "PBE", "state": "optimized geometry", "e_above_lowest_polymorph_ev_per_atom": 0.013, "magmom_total_mub_per_fu": 2.990, "volume_a3_per_fu": 131.1, "lattice": [[3.6963, 0.0000, 0.0000], [0.0000, 4.9926, -0.9476], [0.0000, -1.2236, 7.3354]], "species": ["Cr", "Cl", "Te", "Te"], "frac_coords": [[0.5000, 0.7204, 0.8166], [0.0000, 0.6092, 0.5968], [0.5000, 0.3081, 0.9897], [0.0000, 0.8623, 0.0968]]}



No. 29
{"formula": "CrTe2Cl", "functional": "PBE", "state": "optimized geometry", "e_above_lowest_polymorph_ev_per_atom": 0.210, "magmom_total_mub_per_fu": 3.641, "volume_a3_per_fu": 112.3, "lattice": [[3.2265, 0.0106, 0.0000], [-0.9433, 3.0856, 0.0000], [0.0000, 0.0000, 11.2662]], "species": ["Te", "Cr", "Te", "Cl"], "frac_coords": [[0.0000, 0.0000, 0.9135], [0.5000, 0.5000, 0.7396], [0.5000, 0.5000, 0.2425], [0.0000, 0.0000, 0.6045]]}



No. 30
{"formula": "CrTeCl2", "functional": "PBE", "state": "optimized geometry", "e_above_lowest_polymorph_ev_per_atom": 0.804, "magmom_total_mub_per_fu": 4.434, "volume_a3_per_fu": 89.8, "lattice": [[-3.4913, 2.1055, 3.4447], [1.3398, -4.8469, 1.7890], [2.4987, 1.3263, 1.7219]], "species": ["Cl", "Te", "Cl", "Cr"], "frac_coords": [[0.5000, 0.5000, 0.0000], [0.0000, 0.5000, 0.5000], [0.0000, 0.0000, 0.0000], [0.5000, 0.0000, 0.5000]]}